1.
# KSiPb2

KSiPb2 after structural relaxation (GGA-PBE, Alexandria via LeMat-Bulk).

abc: 5.8852 5.8852 9.9465
angles: 72.79 72.79 90.00
Element x y z (fractional)
1 Si 0.2500 0.7500 0.5000
2 Si 0.5000 0.5000 0.0000
3 Pb 0.3750 0.5018 0.7500
4 Pb 0.2518 0.6250 0.2500
5 Pb 0.8750 0.7482 0.7500
6 Pb 0.4982 0.1250 0.2500
7 K 0.7500 0.2500 0.5000
8 K 0.0000 0.0000 0.0000

Properties
Total magnetic moment (μB per formula unit): 0.0
E (eV/atom): -3.19
SG: I-42d
Raw formation energy (eV per atom): 0.296

=====

2.
# Pr12CdNi5

Pr12CdNi5 after structural relaxation (GGA-PBE, Alexandria via LeMat-Bulk).

abc: 8.6920 8.6920 8.6920
angles: 107.06 112.18 109.21
Element x y z (fractional)
1 Ni 0.3688 0.3688 0.0000
2 Ni 0.0000 0.0000 0.0000
3 Ni 0.5000 0.8765 0.3765
4 Ni 0.5000 0.1235 0.6235
5 Ni 0.6312 0.6312 0.0000
6 Pr 0.3064 0.3236 0.6300
7 Pr 0.1198 0.8211 0.2987
8 Pr 0.8107 0.0179 0.2072
9 Pr 0.1893 0.9821 0.7928
10 Pr 0.6936 0.6764 0.3700
11 Pr 0.1893 0.3966 0.2072
12 Pr 0.4776 0.1789 0.2987
13 Pr 0.3064 0.6764 0.9828
14 Pr 0.5224 0.8211 0.7013
15 Pr 0.6936 0.3236 0.0172
16 Pr 0.8802 0.1789 0.7013
17 Pr 0.8107 0.6034 0.7928
18 Cd 0.0000 0.5000 0.5000

Properties
Total magnetic moment (μB per formula unit): 0.0
E (eV/atom): -5.05
SG: Immm

=====

3.
# Y3PaTl3Se8

Y3PaTl3Se8 after structural relaxation (GGA-PBE, Alexandria via LeMat-Bulk).

abc: 8.3521 8.3525 9.2003
angles: 117.01 90.00 120.00
Site moments in Bohr magnetons follow the coordinates.
Element x y z (fractional)
1 Y 0.5000 0.0000 0.5000  0.01
2 Y 0.0000 0.5000 0.5000  0.01
3 Y 0.5000 0.5000 0.5000  0.01
4 Se 0.7669 0.5338 0.2977  -0.01
5 Se 0.7363 0.9694 0.7023  -0.01
6 Se 0.2655 0.5310 0.2966  0.00
7 Se 0.2637 0.0306 0.2977  -0.01
8 Se 0.2331 0.9694 0.7023  -0.01
9 Se 0.7345 0.4690 0.7034  0.00
10 Se 0.2331 0.4662 0.7023  -0.01
11 Se 0.7669 0.0306 0.2977  -0.01
12 Tl 0.5000 0.5000 0.0000  0.00
13 Tl 0.0000 0.5000 0.0000  0.00
14 Tl 0.0000 0.0000 0.0000  0.00
15 Pa 0.0000 0.0000 0.5000  0.98

Properties
Total magnetic moment (μB per formula unit): 1.1
E (eV/atom): -5.65
SG: R-3m
Raw formation energy (eV per atom): -1.388

=====

4.
# Dy5Y2Tl4

Dy5Y2Tl4 after structural relaxation (GGA-PBE, Alexandria via LeMat-Bulk).

abc: 3.6887 8.9003 11.5067
angles: 112.75 99.22 90.00
Site moments in Bohr magnetons follow the coordinates.
Element x y z (fractional)
1 Tl 0.2746 0.2746 0.5492  0.00
2 Tl 0.0000 0.7240 0.0000  0.00
3 Tl 0.0000 0.2760 0.0000  0.00
4 Tl 0.7254 0.7254 0.4508  0.00
5 Dy 0.8478 0.0500 0.6957  0.01
6 Dy 0.1522 0.9500 0.3043  0.01
7 Dy 0.5000 0.0000 0.0000  0.01
8 Dy 0.1522 0.3543 0.3043  0.01
9 Dy 0.8478 0.6457 0.6957  0.01
10 Y 0.5829 0.5829 0.1658  0.05
11 Y 0.4171 0.4171 0.8342  0.05

Properties
Total magnetic moment (μB per formula unit): 0.3
E (eV/atom): -4.21
SG: Immm

=====

5.
# ZrScRh2S

ZrScRh2S after structural relaxation (GGA-PBE, Alexandria via LeMat-Bulk).

abc: 4.4985 5.5104 4.4985
angles: 90.00 90.00 90.00
Element x y z (fractional)
1 Sc 0.0000 0.0000 0.0000
2 S 0.5000 0.5000 0.5000
3 Zr 0.0000 0.5000 0.0000
4 Rh 0.0000 0.0000 0.5000
5 Rh 0.5000 0.0000 0.0000

Properties
Total magnetic moment (μB per formula unit): 0.0
E (eV/atom): -5.89
SG: P4/mmm
Raw formation energy (eV per atom): 0.854

=====

6.
# BaSb2Te2

BaSb2Te2 after structural relaxation (GGA-PBE, Alexandria via LeMat-Bulk).

abc: 9.1757 9.1757 4.2464
angles: 90.00 90.00 90.00
Element x y z (fractional)
1 Te 0.1423 0.3577 0.0000
2 Te 0.3577 0.8577 0.0000
3 Te 0.8577 0.6423 0.0000
4 Te 0.6423 0.1423 0.0000
5 Sb 0.7049 0.7951 0.5000
6 Sb 0.2049 0.7049 0.5000
7 Sb 0.7951 0.2951 0.5000
8 Sb 0.2951 0.2049 0.5000
9 Ba 0.0000 0.0000 0.0000
10 Ba 0.5000 0.5000 0.0000

Properties
Total magnetic moment (μB per formula unit): 0.0
E (eV/atom): -3.77
SG: P4/mbm
Relative energy among the computed polymorphs (meV per atom): 0
Raw formation energy (eV per atom): -0.485

=====

7.
# PmZrSc4

PmZrSc4 after structural relaxation (GGA-PBE, Alexandria via LeMat-Bulk).

abc: 5.8953 7.7268 8.4184
angles: 117.32 107.44 90.00
Element x y z (fractional)
1 Sc 0.4359 0.6884 0.7746
2 Sc 0.2576 0.6791 0.3583
3 Sc 0.7424 0.3209 0.6417
4 Sc 0.5641 0.9138 0.2254
5 Sc 0.4359 0.0862 0.7746
6 Sc 0.5641 0.3116 0.2254
7 Sc 0.0000 0.1901 0.0000
8 Sc 0.0000 0.8099 0.0000
9 Pm 0.1385 0.2161 0.4322
10 Pm 0.8615 0.7839 0.5678
11 Zr 0.2517 0.4788 0.9577
12 Zr 0.7483 0.5212 0.0423

Properties
Total magnetic moment (μB per formula unit): 0.0
E (eV/atom): -6.29
SG: C2/m

=====

8.
# LaPm2Tm3

LaPm2Tm3 after structural relaxation (GGA-PBE, Alexandria via LeMat-Bulk).

abc: 3.5146 9.0990 13.0318
angles: 78.13 82.25 78.86
Element x y z (fractional)
1 Tm 0.0402 0.1237 0.7959
2 Tm 0.4009 0.1716 0.0266
3 Tm 0.7356 0.8215 0.7073
4 Tm 0.2644 0.1785 0.2927
5 Tm 0.5991 0.8284 0.9734
6 Tm 0.9598 0.8763 0.2041
7 Pm 0.1821 0.5196 0.1162
8 Pm 0.3440 0.8451 0.4669
9 Pm 0.8179 0.4804 0.8838
10 Pm 0.6560 0.1549 0.5331
11 La 0.4390 0.4763 0.6456
12 La 0.5610 0.5237 0.3544

Properties
Total magnetic moment (μB per formula unit): 0.0
E (eV/atom): -4.52
SG: C2/m
Relative energy among the computed polymorphs (meV per atom): 43

=====

9.
# BaLuMgIn

BaLuMgIn after structural relaxation (GGA-PBE, Alexandria via LeMat-Bulk).

abc: 5.6469 5.6469 5.6469
angles: 60.00 60.00 60.00
Element x y z (fractional)
1 Ba 0.7500 0.7500 0.7500
2 Mg 0.0000 0.0000 0.0000
3 In 0.5000 0.5000 0.5000
4 Lu 0.2500 0.2500 0.2500

Properties
Total magnetic moment (μB per formula unit): 0.0
E (eV/atom): -2.82
SG: F-43m

=====

10.
# Li5Ga6Ir

Li5Ga6Ir after structural relaxation (GGA-PBE, Alexandria via LeMat-Bulk).

abc: 3.9502 7.8602 6.1983
angles: 90.00 71.42 90.00
Element x y z (fractional)
1 Ga 0.8333 0.2400 0.3334
2 Ga 0.8333 0.7600 0.3334
3 Ga 0.5000 0.2331 0.0000
4 Ga 0.1667 0.2400 0.6666
5 Ga 0.1667 0.7600 0.6666
6 Ga 0.5000 0.7669 0.0000
7 Li 0.6664 0.5000 0.6673
8 Li 0.0000 0.5000 0.0000
9 Li 0.3381 0.0000 0.3237
10 Li 0.6619 0.0000 0.6763
11 Li 0.3336 0.5000 0.3327
12 Ir 0.0000 0.0000 0.0000

Properties
Total magnetic moment (μB per formula unit): 0.0
E (eV/atom): -3.36
SG: Cmmm

=====

11.
# Tm8Ga2Au

Tm8Ga2Au after structural relaxation (GGA-PBE, Alexandria via LeMat-Bulk).

abc: 4.9119 6.5710 9.4468
angles: 101.08 105.07 90.00
Element x y z (fractional)
1 Ga 0.1884 0.7569 0.3768
2 Ga 0.8116 0.2431 0.6232
3 Au 0.5000 0.0000 0.0000
4 Tm 0.2089 0.3205 0.4177
5 Tm 0.4077 0.5371 0.8154
6 Tm 0.9751 0.2304 0.9503
7 Tm 0.6574 0.9802 0.3148
8 Tm 0.0249 0.7696 0.0497
9 Tm 0.7911 0.6795 0.5823
10 Tm 0.5923 0.4629 0.1846
11 Tm 0.3426 0.0198 0.6852

Properties
Total magnetic moment (μB per formula unit): 0.0
E (eV/atom): -4.45
SG: C2/m

=====

12.
# BaAs4Pb

BaAs4Pb after structural relaxation (GGA-PBE, Alexandria via LeMat-Bulk).

abc: 5.9931 5.9931 5.9931
angles: 60.00 60.00 60.00
Element x y z (fractional)
1 As 0.3647 0.3647 0.9058
2 As 0.3647 0.9058 0.3647
3 As 0.3647 0.3647 0.3647
4 As 0.9058 0.3647 0.3647
5 Pb 0.0000 0.0000 0.0000
6 Ba 0.7500 0.7500 0.7500

Properties
Total magnetic moment (μB per formula unit): 0.0
E (eV/atom): -4.22
SG: F-43m

=====

13.
# Sc3GaHg2

Sc3GaHg2 after structural relaxation (GGA-PBE, Alexandria via LeMat-Bulk).

abc: 3.4450 3.4450 10.5762
angles: 90.00 90.00 90.00
Element x y z (fractional)
1 Sc 0.0000 0.0000 0.3459
2 Sc 0.0000 0.0000 0.0000
3 Sc 0.0000 0.0000 0.6541
4 Ga 0.5000 0.5000 0.5000
5 Hg 0.5000 0.5000 0.8280
6 Hg 0.5000 0.5000 0.1720

Properties
Total magnetic moment (μB per formula unit): 0.0
E (eV/atom): -4.25
SG: P4/mmm

=====

14.
# HoSc5Tl2

HoSc5Tl2 after structural relaxation (GGA-PBE, Alexandria via LeMat-Bulk).

abc: 4.5836 6.4770 12.9727
angles: 90.00 90.00 90.00
Site moments in Bohr magnetons follow the coordinates.
Element x y z (fractional)
1 Tl 0.5000 0.2527 0.6269  -0.02
2 Tl 0.5000 0.2473 0.1269  -0.02
3 Tl 0.5000 0.7527 0.8731  -0.02
4 Tl 0.5000 0.7473 0.3731  -0.02
5 Ho 0.0000 0.0000 0.5000  0.31
6 Ho 0.0000 0.5000 0.0000  0.31
7 Sc 0.5000 0.2462 0.8717  0.37
8 Sc 0.5000 0.7462 0.6283  0.37
9 Sc 0.0000 0.5015 0.2534  0.37
10 Sc 0.0000 0.5000 0.5000  0.37
11 Sc 0.0000 0.0015 0.2466  0.37
12 Sc 0.0000 0.9985 0.7534  0.37
13 Sc 0.5000 0.7538 0.1283  0.37
14 Sc 0.5000 0.2537 0.3717  0.37
15 Sc 0.0000 0.0000 0.0000  0.37
16 Sc 0.0000 0.4985 0.7466  0.37

Properties
Total magnetic moment (μB per formula unit): 3.0
E (eV/atom): -5.31
SG: Pbam
Relative energy among the computed polymorphs (meV per atom): 0

=====

15.
# LiPmIn2Br6

LiPmIn2Br6 after structural relaxation (GGA-PBE, Alexandria via LeMat-Bulk).

abc: 7.6017 7.9728 10.8717
angles: 90.00 89.33 90.00
Element x y z (fractional)
1 Br 0.1922 0.2009 0.4537
2 Br 0.1991 0.1997 0.0491
3 Br 0.5986 0.0197 0.2438
4 Br 0.9014 0.5197 0.2562
5 Br 0.4014 0.9803 0.7562
6 Br 0.6991 0.3003 0.5491
7 Br 0.3078 0.7009 0.0463
8 Br 0.8078 0.7991 0.5463
9 Br 0.8009 0.8003 0.9509
10 Br 0.6922 0.2991 0.9537
11 Br 0.0986 0.4803 0.7438
12 Br 0.3009 0.6997 0.4509
13 In 0.9767 0.0794 0.7425
14 In 0.0233 0.9206 0.2575
15 In 0.5233 0.5794 0.7575
16 In 0.4767 0.4206 0.2425
17 Li 0.5000 0.0000 0.0000
18 Li 0.0000 0.5000 0.5000
19 Pm 0.5000 0.0000 0.5000
20 Pm 0.0000 0.5000 0.0000

Properties
Total magnetic moment (μB per formula unit): 0.0
E (eV/atom): -3.53
SG: P2_1/c
Raw formation energy (eV per atom): -1.313

=====

16.
# TaNb2Te4

TaNb2Te4 after structural relaxation (GGA-PBE, Alexandria via LeMat-Bulk).

abc: 6.6017 8.1951 13.7656
angles: 90.00 90.00 90.00
Element x y z (fractional)
1 Nb 0.5000 0.5000 0.5000
2 Nb 0.5000 0.0000 0.5000
3 Nb 0.0000 0.5000 0.0000
4 Nb 0.4708 0.2500 0.7114
5 Nb 0.9708 0.7500 0.7886
6 Nb 0.5292 0.7500 0.2886
7 Nb 0.0000 0.0000 0.0000
8 Nb 0.0292 0.2500 0.2114
9 Te 0.2373 0.5268 0.6708
10 Te 0.2627 0.5268 0.1708
11 Te 0.2962 0.2500 0.3821
12 Te 0.7685 0.2500 0.5727
13 Te 0.2685 0.7500 0.9273
14 Te 0.2315 0.7500 0.4273
15 Te 0.7627 0.0268 0.3292
16 Te 0.7627 0.4732 0.3292
17 Te 0.7373 0.4732 0.8292
18 Te 0.7038 0.7500 0.6179
19 Te 0.7373 0.0268 0.8292
20 Te 0.7315 0.2500 0.0727
21 Te 0.2373 0.9732 0.6708
22 Te 0.2038 0.2500 0.8821
23 Te 0.7962 0.7500 0.1179
24 Te 0.2627 0.9732 0.1708
25 Ta 0.6873 0.7500 0.9317
26 Ta 0.1873 0.2500 0.5683
27 Ta 0.3127 0.2500 0.0683
28 Ta 0.8127 0.7500 0.4317

Properties
Total magnetic moment (μB per formula unit): 0.0
E (eV/atom): -6.57
SG: Pnma
Relative energy among the computed polymorphs (meV per atom): 120
Raw formation energy (eV per atom): -0.206

=====

17.
# Ba4SrMn

Ba4SrMn after structural relaxation (GGA-PBE, Alexandria via LeMat-Bulk).

abc: 7.7537 7.7537 7.7537
angles: 60.00 60.00 60.00
Site moments in Bohr magnetons follow the coordinates.
Element x y z (fractional)
1 Ba 0.3759 0.8723 0.3759  0.07
2 Ba 0.3759 0.3759 0.8723  0.07
3 Ba 0.3759 0.3759 0.3759  0.07
4 Ba 0.8723 0.3759 0.3759  0.07
5 Sr 0.0000 0.0000 0.0000  0.03
6 Mn 0.7500 0.7500 0.7500  -4.43

Properties
Total magnetic moment (μB per formula unit): 3.8
E (eV/atom): -2.48
SG: F-43m

=====

18.
# CuPb2

CuPb2 after structural relaxation (GGA-PBE, Alexandria via LeMat-Bulk).

abc: 6.7758 6.7758 6.7758
angles: 90.00 90.00 90.00
Element x y z (fractional)
1 Pb 0.6447 0.6447 0.3553
2 Pb 0.8553 0.3553 0.8553
3 Pb 0.3553 0.3553 0.6447
4 Pb 0.3553 0.1447 0.1447
5 Pb 0.8553 0.1447 0.3553
6 Pb 0.1447 0.8553 0.6447
7 Pb 0.1447 0.6447 0.1447
8 Pb 0.6447 0.8553 0.8553
9 Cu 0.0000 0.0000 0.0000
10 Cu 0.5000 0.0000 0.5000
11 Cu 0.0000 0.5000 0.5000
12 Cu 0.5000 0.5000 0.0000

Properties
Total magnetic moment (μB per formula unit): 0.0
E (eV/atom): -3.64
SG: Pa-3

=====

19.
# Hf3VCd

Hf3VCd after structural relaxation (GGA-PBE, Alexandria via LeMat-Bulk).

abc: 4.8773 4.8773 4.8773
angles: 90.00 90.00 90.00
Element x y z (fractional)
1 Cd 0.5000 0.5000 0.5000
2 Hf 0.5000 0.0000 0.0000
3 Hf 0.0000 0.5000 0.0000
4 Hf 0.0000 0.0000 0.5000
5 V 0.0000 0.0000 0.0000

Properties
Total magnetic moment (μB per formula unit): 0.0
E (eV/atom): -7.29
SG: Pm-3m
Relative energy among the computed polymorphs (meV per atom): 0

=====

20.
# K2Ba2Au

K2Ba2Au after structural relaxation (GGA-PBE, Alexandria via LeMat-Bulk).

abc: 5.0901 5.0901 11.8744
angles: 77.62 77.62 90.00
Site moments in Bohr magnetons follow the coordinates.
Element x y z (fractional)
1 K 0.5787 0.5787 0.8425  0.00
2 K 0.4213 0.4213 0.1575  0.00
3 Au 0.0000 0.0000 0.0000  0.00
4 Ba 0.2500 0.7500 0.5000  0.10
5 Ba 0.7500 0.2500 0.5000  0.10

Properties
Total magnetic moment (μB per formula unit): 0.8
E (eV/atom): -1.57
SG: I4/mmm
Relative energy among the computed polymorphs (meV per atom): 600